#1
## Na2NiGe2 (PBE-GGA)

Data for Na2NiGe2 after structural relaxation.

Unit cell a=6.253 b=6.253 c=5.002 alpha=90.00 beta=90.00 gamma=90.00
Space group P4/mbm (No. 127)
Symmetry-distinct sites (fractional):
Na 0.177 0.323 0.000 [4 per cell]
Ni 0.000 0.000 0.500 [2 per cell]
Ge 0.145 0.645 0.500 [4 per cell]

## Properties
Size of the total moment = 0.0 μB per cell
N(E_F) = 1.75 states/eV/f.u.

=====

#2
## Na2NiGe2 (PBE-GGA)

Data for Na2NiGe2 after structural relaxation.

Unit cell a=4.0004 b=4.0004 c=27.3512 alpha=90.00 beta=90.00 gamma=120.00
Space group R-3m (No. 166, hexagonal axes)
Symmetry-distinct sites (fractional):
Na 0.0000 0.0000 0.0679 [6 per cell]
Ni 0.0000 0.0000 0.5000 [3 per cell]
Ge 0.0000 0.0000 0.1948 [6 per cell]

## Properties
Size of the total moment = 0.0 μB per cell
N(E_F) = 1.46 states/eV/f.u.

=====

The structure shown above that is most stable: #2.